Computed, not measured: BaSn2PbI8 after structural relaxation at the PBE level of DFT.

Computed properties:
Crystal system = monoclinic
Energy relative to the elements, uncorrected = -0.818 eV/atom
Raw total energy = -2.988 eV per atom

a = 7.8691 Å, b = 7.4647 Å, c = 9.6996 Å
α = 90.01°, β = 90.00°, γ = 89.79°
Element x y z (fractional)
I1 0.6399 0.7316 0.5000
Sn1 0.5000 0.5000 0.2431
I2 0.1632 0.7439 0.2356
I3 0.8368 0.2561 0.7644
I4 0.8367 0.2560 0.2356
Sn2 0.5000 0.5000 0.7569
I5 0.1633 0.7440 0.7644
I6 0.6563 0.7446 0.9999
I7 0.3437 0.2554 0.0001
I8 0.3601 0.2684 0.5000
Ba1 0.0000 0.0000 0.5000
Pb1 0.0000 0.0000 0.0000

---

Computed, not measured: Ba6Sn2PbI3 after structural relaxation at the PBE level of DFT.

Computed properties:
Crystal system = monoclinic
Energy relative to the elements, uncorrected = -1.014 eV/atom
Raw total energy = -3.339 eV per atom

a = 5.2701 Å, b = 9.8690 Å, c = 13.7184 Å
α = 130.62°, β = 101.07°, γ = 90.00°
Element x y z (fractional)
Sn1 0.1315 0.1867 0.2629
I1 0.8241 0.2408 0.6482
Ba1 0.6477 0.9809 0.2954
I2 0.5000 0.5000 0.0000
Ba2 0.9762 0.7209 0.9523
Ba3 0.3523 0.0191 0.7046
I3 0.1759 0.7592 0.3518
Pb1 0.5000 0.0000 0.0000
Ba4 0.0238 0.2791 0.0477
Ba5 0.6886 0.5105 0.3771
Ba6 0.3114 0.4895 0.6229
Sn2 0.8685 0.8133 0.7371

---

Computed, not measured: Ba2TcPbI after structural relaxation at the PBE level of DFT.

Computed properties:
Crystal system = tetragonal
Energy relative to the elements, uncorrected = -0.236 eV/atom
Raw total energy = -4.130 eV per atom

a = 6.0543 Å, b = 5.2652 Å, c = 6.0543 Å
α = 90.00°, β = 90.00°, γ = 90.00°
Element x y z (fractional)
Pb1 0.0000 0.5000 0.0000
Ba1 0.5000 0.0000 0.0000
Tc1 0.0000 0.0000 0.0000
Ba2 0.0000 0.0000 0.5000
I1 0.5000 0.5000 0.5000

---

Computed, not measured: Ba6TePb2I3 after structural relaxation at the PBE level of DFT.

Computed properties:
Crystal system = monoclinic
Energy relative to the elements, uncorrected = -1.198 eV/atom
Raw total energy = -3.427 eV per atom

a = 4.8872 Å, b = 10.6155 Å, c = 11.5603 Å
α = 103.09°, β = 102.20°, γ = 90.00°
Element x y z (fractional)
I1 0.8386 0.1687 0.6772
Ba1 0.9897 0.7607 0.9795
Ba2 0.6627 0.0938 0.3254
Ba3 0.3373 0.9062 0.6746
Pb1 0.1654 0.3268 0.3308
Pb2 0.8346 0.6732 0.6692
I2 0.1614 0.8313 0.3228
Te1 0.5000 0.0000 0.0000
Ba4 0.6742 0.5703 0.3483
Ba5 0.3258 0.4297 0.6517
Ba6 0.0103 0.2393 0.0205
I3 0.5000 0.5000 0.0000

---

Number 1: Fermi-level density of states 0.000 states/eV per cell. Number 2: Fermi-level density of states 6.479 states/eV per cell. Number 3: Fermi-level density of states 2.852 states/eV per cell. Number 4: Fermi-level density of states 6.476 states/eV per cell.